1.
Computed, not measured: a relaxed SrPrZnGa crystal at the GGA-PBE level of DFT.

Cell: 5.383 5.383 5.383 Å, 60.00 60.00 60.00°
Fractional coordinates of all 4 atoms:
Sr1 0.000 0.000 0.000
Pr1 0.500 0.500 0.500
Zn1 0.750 0.750 0.750
Ga1 0.250 0.250 0.250

Summary:
- Formation enthalpy at 0 K: -332 meV/atom
- VASP energy: -3.022 eV/atom
- Spin magnetization: 0.00 μB/f.u.

=====

2.
Computed, not measured: a relaxed PrTaGa2 crystal at the GGA-PBE level of DFT.

Cell: 9.955 9.955 9.955 Å, 18.14 18.14 18.14°
Fractional coordinates of all 4 atoms:
Pr1 0.000 0.000 0.000
Ta1 0.500 0.500 0.500
Ga1 0.241 0.241 0.241
Ga2 0.759 0.759 0.759

Summary:
- Formation enthalpy at 0 K: 19 meV/atom
- VASP energy: -5.653 eV/atom
- Spin magnetization: 0.00 μB/f.u.

=====

3.
Computed, not measured: a relaxed Tb6PrGa3 crystal at the GGA-PBE level of DFT.

Cell: 8.351 8.351 8.339 Å, 90.00 90.00 99.12°
Fractional coordinates of all 20 atoms:
Tb1 0.033 0.967 0.500
Tb2 0.059 0.415 0.614
Tb3 0.224 0.776 0.827
Tb4 0.265 0.398 0.972
Tb5 0.398 0.265 0.472
Tb6 0.415 0.059 0.114
Tb7 0.585 0.941 0.614
Tb8 0.602 0.735 0.972
Tb9 0.735 0.602 0.472
Tb10 0.776 0.224 0.327
Tb11 0.941 0.585 0.114
Tb12 0.967 0.033 0.000
Pr1 0.328 0.672 0.334
Pr2 0.672 0.328 0.834
Ga1 0.119 0.282 0.275
Ga2 0.282 0.119 0.775
Ga3 0.431 0.569 0.671
Ga4 0.569 0.431 0.171
Ga5 0.718 0.881 0.275
Ga6 0.881 0.718 0.775

Summary:
- Formation enthalpy at 0 K: -305 meV/atom
- VASP energy: -4.469 eV/atom
- Spin magnetization: 0.00 μB/f.u.

=====

4.
Computed, not measured: a relaxed Tb2Pr5Ga4 crystal at the GGA-PBE level of DFT.

Cell: 9.180 9.180 9.180 Å, 150.05 102.78 84.97°
Fractional coordinates of all 11 atoms:
Tb1 0.196 0.196 0.000
Tb2 0.804 0.804 0.000
Pr1 0.000 0.500 0.500
Pr2 0.184 0.852 0.332
Pr3 0.479 0.148 0.332
Pr4 0.521 0.852 0.668
Pr5 0.816 0.148 0.668
Ga1 0.141 0.000 0.141
Ga2 0.408 0.408 0.000
Ga3 0.592 0.592 0.000
Ga4 0.859 0.000 0.859

Summary:
- Formation enthalpy at 0 K: -53 meV/atom
- VASP energy: -4.168 eV/atom
- Spin magnetization: 0.00 μB/f.u.

=====

5.
Computed, not measured: a relaxed Tb2PrGa2 crystal at the GGA-PBE level of DFT.

Cell: 6.603 6.603 5.882 Å, 102.33 102.33 33.56°
Fractional coordinates of all 5 atoms:
Tb1 0.138 0.138 0.068
Tb2 0.862 0.862 0.932
Pr1 0.500 0.500 0.500
Ga1 0.208 0.208 0.612
Ga2 0.792 0.792 0.388

Summary:
- Distance to the lowest polymorph of the same formula: 0.091 eV per atom
- Formation enthalpy at 0 K: -378 meV/atom
- VASP energy: -4.397 eV/atom
- Spin magnetization: 0.00 μB/f.u.

=====

6.
Computed, not measured: a relaxed TbPrGa3 crystal at the GGA-PBE level of DFT.

Cell: 13.114 13.114 4.229 Å, 90.00 90.00 160.98°
Fractional coordinates of all 10 atoms:
Tb1 0.204 0.796 0.750
Tb2 0.796 0.204 0.250
Pr1 0.074 0.926 0.250
Pr2 0.926 0.074 0.750
Ga1 0.323 0.677 0.750
Ga2 0.379 0.621 0.250
Ga3 0.476 0.524 0.250
Ga4 0.524 0.476 0.750
Ga5 0.621 0.379 0.750
Ga6 0.677 0.323 0.250

Summary:
- Formation enthalpy at 0 K: -665 meV/atom
- VASP energy: -4.363 eV/atom
- Spin magnetization: 0.00 μB/f.u.

=====

7.
Computed, not measured: a relaxed TbPr2Ga6 crystal at the GGA-PBE level of DFT.

Cell: 8.037 8.037 8.037 Å, 148.11 127.06 63.14°
Fractional coordinates of all 9 atoms:
Tb1 0.000 0.000 0.000
Pr1 0.368 0.868 0.500
Pr2 0.632 0.132 0.500
Ga1 0.010 0.325 0.685
Ga2 0.310 0.500 0.810
Ga3 0.360 0.675 0.685
Ga4 0.640 0.325 0.315
Ga5 0.690 0.500 0.190
Ga6 0.990 0.675 0.315

Summary:
- Distance to the lowest polymorph of the same formula: 0.250 eV per atom
- Formation enthalpy at 0 K: -422 meV/atom
- VASP energy: -4.016 eV/atom
- Spin magnetization: 0.00 μB/f.u.

=====

8.
Computed, not measured: a relaxed TbPrGa4 crystal at the GGA-PBE level of DFT.

Cell: 5.599 5.599 5.599 Å, 60.00 60.00 60.00°
Fractional coordinates of all 6 atoms:
Tb1 0.000 0.000 0.000
Pr1 0.250 0.250 0.250
Ga1 0.125 0.625 0.625
Ga2 0.625 0.125 0.625
Ga3 0.625 0.625 0.125
Ga4 0.625 0.625 0.625

Summary:
- Distance to the lowest polymorph of the same formula: 0.108 eV per atom
- Formation enthalpy at 0 K: -553 meV/atom
- VASP energy: -4.139 eV/atom
- Spin magnetization: 0.00 μB/f.u.

=====

9.
Computed, not measured: a relaxed Tb2Pr2Ga crystal at the GGA-PBE level of DFT.

Cell: 9.450 9.450 9.450 Å, 153.75 153.75 37.46°
Fractional coordinates of all 5 atoms:
Tb1 0.083 0.083 0.000
Tb2 0.917 0.917 0.000
Pr1 0.250 0.750 0.500
Pr2 0.750 0.250 0.500
Ga1 0.500 0.500 0.000

Summary:
- Formation enthalpy at 0 K: 372 meV/atom
- VASP energy: -3.998 eV/atom
- Spin magnetization: 0.00 μB/f.u.

=====

10.
Computed, not measured: a relaxed Tb2PrGa9 crystal at the GGA-PBE level of DFT.

Cell: 4.328 4.328 12.985 Å, 90.00 90.00 90.00°
Fractional coordinates of all 12 atoms:
Tb1 0.000 0.000 0.163
Tb2 0.000 0.000 0.837
Pr1 0.000 0.000 0.500
Ga1 0.000 0.500 0.000
Ga2 0.000 0.500 0.328
Ga3 0.000 0.500 0.672
Ga4 0.500 0.000 0.000
Ga5 0.500 0.000 0.328
Ga6 0.500 0.000 0.672
Ga7 0.500 0.500 0.166
Ga8 0.500 0.500 0.500
Ga9 0.500 0.500 0.834

Summary:
- Formation enthalpy at 0 K: -527 meV/atom
- VASP energy: -3.967 eV/atom
- Spin magnetization: 0.00 μB/f.u.

=====

11.
Computed, not measured: a relaxed TbPr2Ga crystal at the GGA-PBE level of DFT.

Cell: 5.474 5.474 5.474 Å, 60.00 60.00 60.00°
Fractional coordinates of all 4 atoms:
Tb1 0.000 0.000 0.000
Pr1 0.250 0.250 0.250
Pr2 0.750 0.750 0.750
Ga1 0.500 0.500 0.500

Summary:
- Distance to the lowest polymorph of the same formula: 0.135 eV per atom
- Formation enthalpy at 0 K: -91 meV/atom
- VASP energy: -4.395 eV/atom
- Spin magnetization: 0.01 μB/f.u.

=====

12.
Computed, not measured: a relaxed TbPr2Ga crystal at the GGA-PBE level of DFT.

Cell: 4.839 4.839 4.876 Å, 90.00 90.00 90.00°
Fractional coordinates of all 4 atoms:
Tb1 0.000 0.000 0.000
Pr1 0.000 0.500 0.500
Pr2 0.500 0.000 0.500
Ga1 0.500 0.500 0.000

Summary:
- Distance to the lowest polymorph of the same formula: 0.000 eV per atom
- Formation enthalpy at 0 K: -226 meV/atom
- VASP energy: -4.530 eV/atom
- Spin magnetization: 0.00 μB/f.u.